# 1
Here is a relaxed structure of Ta2CrNiH from Alexandria. Energies are from PBE.

## Properties
D(E_F), states/eV/f.u.: 2.48
Relative energy among the computed polymorphs, meV/atom: 35.0

```
data_Ta2CrNiH
_space_group_name_H-M_alt 'P 4/m m m'
_space_group_IT_number 123
_space_group_name_Hall '-P 4 2'
_cell_length_a 4.2090
_cell_length_b 4.2090
_cell_length_c 3.4610
_cell_angle_alpha 90.00
_cell_angle_beta 90.00
_cell_angle_gamma 90.00
loop_
_atom_site_label
_atom_site_type_symbol
_atom_site_fract_x
_atom_site_fract_y
_atom_site_fract_z
_atom_site_occupancy
Ta1 Ta 0.0000 0.5000 0.0000 1
Cr1 Cr 0.0000 0.0000 0.5000 1
Ni1 Ni 0.5000 0.5000 0.5000 1
H1 H 0.0000 0.0000 0.0000 1
```



# 2
Here is a relaxed structure of PPdPtCl2 from Alexandria. Energies are from PBE.

## Properties
D(E_F), states/eV/f.u.: 6.64
Formation energy (no corrections), meV/atom: 492.0
Relative energy among the computed polymorphs, meV/atom: 0.0

```
data_PPdPtCl2
_space_group_name_H-M_alt 'P 4/m m m'
_space_group_IT_number 123
_space_group_name_Hall '-P 4 2'
_cell_length_a 4.9968
_cell_length_b 4.9968
_cell_length_c 4.5221
_cell_angle_alpha 90.00
_cell_angle_beta 90.00
_cell_angle_gamma 90.00
loop_
_atom_site_label
_atom_site_type_symbol
_atom_site_fract_x
_atom_site_fract_y
_atom_site_fract_z
_atom_site_occupancy
P1 P 0.0000 0.0000 0.0000 1
Pd1 Pd 0.5000 0.5000 0.0000 1
Pt1 Pt 0.0000 0.0000 0.5000 1
Cl1 Cl 0.0000 0.5000 0.5000 1
```



# 3
Here is a relaxed structure of Sc5Nb3H12 from Alexandria. Energies are from PBE.

## Properties
D(E_F), states/eV/f.u.: 3.61
Uncorrected energy, eV per formula unit: -109.489

```
data_Sc5Nb3H12
_space_group_name_H-M_alt 'I a -3 d'
_space_group_IT_number 230
_space_group_name_Hall '-I 4bd 2c 3'
_cell_length_a 11.6120
_cell_length_b 11.6120
_cell_length_c 11.6120
_cell_angle_alpha 90.00
_cell_angle_beta 90.00
_cell_angle_gamma 90.00
loop_
_atom_site_label
_atom_site_type_symbol
_atom_site_fract_x
_atom_site_fract_y
_atom_site_fract_z
_atom_site_occupancy
Sc1 Sc 0.0000 0.0000 0.0000 1
Sc2 Sc 0.0000 0.2500 0.3750 1
Nb1 Nb 0.0000 0.2500 0.1250 1
H1 H 0.9995 0.0735 0.1565 1
```